Entry P
This record from the Alexandria database describes an optimized crystal structure of KRe3O. The functional is PBE.

As for the space group: Pm-3m, No. 221. For the size of the total moment, the calculation gives 1.2 Bohr magnetons per cell.

Cell lengths 4.281, 4.281, 4.281 Å; angles 90.00, 90.00, 90.00 degrees
Sites, in units of the cell vectors:
1 K 0.000 0.000 0.000
2 Re 0.000 0.500 0.500
3 Re 0.500 0.000 0.500
4 Re 0.500 0.500 0.000
5 O 0.500 0.500 0.500

=====

Entry Q
This record from the Alexandria database describes an optimized crystal structure of KRe3O. The functional is PBE.

As for the space group: Pm-3m, No. 221. For the size of the total moment, the calculation gives 3.5 Bohr magnetons per cell.

Cell lengths 4.553, 4.553, 4.553 Å; angles 90.00, 90.00, 90.00 degrees
Sites, in units of the cell vectors:
1 K 0.000 0.000 0.000
2 Re 0.000 0.000 0.500
3 Re 0.000 0.500 0.000
4 Re 0.500 0.000 0.000
5 O 0.500 0.500 0.500

=====

Of them, entry P has the highest stability.

=====

Entry P
This record from the Alexandria database describes an optimized crystal structure of K2Rh2O. The functional is PBE.

As for the space group: I4/mmm, No. 139. For the size of the total moment, the calculation gives 0.6 Bohr magnetons per cell.

Cell lengths 9.783, 9.783, 9.783 Å; angles 159.57, 159.57, 29.06 degrees
Sites, in units of the cell vectors:
1 K 0.079 0.079 0.000
2 K 0.921 0.921 0.000
3 Rh 0.250 0.750 0.500
4 Rh 0.750 0.250 0.500
5 O 0.500 0.500 0.000

=====

Entry Q
This record from the Alexandria database describes an optimized crystal structure of K2Rh2O. The functional is PBE.

As for the space group: P4/mbm, No. 127. For the size of the total moment, the calculation gives 7.8 Bohr magnetons per cell.

Cell lengths 6.475, 6.475, 6.146 Å; angles 90.00, 90.00, 90.00 degrees
Sites, in units of the cell vectors:
1 K 0.164 0.336 0.000
2 K 0.336 0.836 0.000
3 K 0.664 0.164 0.000
4 K 0.836 0.664 0.000
5 Rh 0.130 0.630 0.500
6 Rh 0.370 0.130 0.500
7 Rh 0.630 0.870 0.500
8 Rh 0.870 0.370 0.500
9 O 0.000 0.000 0.000
10 O 0.500 0.500 0.000

=====

Of them, entry P has the highest stability.

=====

Entry P
This record from the Alexandria database describes an optimized crystal structure of K4RhO4. The functional is PBE.

As for the space group: I-42m, No. 121. For the size of the total moment, the calculation gives 0.9 Bohr magnetons per cell.

Cell lengths 7.400, 7.400, 7.400 Å; angles 130.49, 130.49, 72.63 degrees
Sites, in units of the cell vectors:
1 K 0.000 0.500 0.500
2 K 0.214 0.214 0.000
3 K 0.500 0.000 0.500
4 K 0.786 0.786 0.000
5 Rh 0.500 0.500 0.000
6 O 0.225 0.555 0.000
7 O 0.445 0.445 0.670
8 O 0.555 0.225 0.000
9 O 0.775 0.775 0.330

=====

Entry Q
This record from the Alexandria database describes an optimized crystal structure of K4RhO4. The functional is PBE.

As for the space group: I4/m, No. 87. For the size of the total moment, the calculation gives 3.0 Bohr magnetons per cell.

Cell lengths 6.303, 6.303, 6.303 Å; angles 100.51, 100.51, 129.43 degrees
Sites, in units of the cell vectors:
1 K 0.102 0.295 0.397
2 K 0.295 0.898 0.193
3 K 0.705 0.102 0.807
4 K 0.898 0.705 0.603
5 Rh 0.500 0.500 0.000
6 O 0.269 0.572 0.840
7 O 0.428 0.269 0.697
8 O 0.572 0.731 0.303
9 O 0.731 0.428 0.160

=====

Of them, entry Q has the highest stability.

=====

Entry P
This record from the Alexandria database describes an optimized crystal structure of K2SO4. The functional is PBE.

As for the space group: P-3m1, No. 164. For the size of the total moment, the calculation gives 4.1 Bohr magnetons per cell.

Cell lengths 5.537, 5.537, 9.650 Å; angles 90.00, 90.00, 120.00 degrees
Sites, in units of the cell vectors:
1 K 0.000 0.000 0.000
2 K 0.000 0.000 0.500
3 K 0.333 0.667 0.091
4 K 0.667 0.333 0.909
5 S 0.333 0.667 0.719
6 S 0.667 0.333 0.281
7 O 0.130 0.260 0.239
8 O 0.130 0.870 0.239
9 O 0.260 0.130 0.761
10 O 0.333 0.667 0.567
11 O 0.667 0.333 0.433
12 O 0.740 0.870 0.239
13 O 0.870 0.130 0.761
14 O 0.870 0.740 0.761

=====

Entry Q
This record from the Alexandria database describes an optimized crystal structure of K2SO4. The functional is PBE.

As for the space group: Fmm2, No. 42. For the size of the total moment, the calculation gives 0.2 Bohr magnetons per cell.

Cell lengths 6.074, 6.064, 6.100 Å; angles 59.91, 59.75, 60.34 degrees
Sites, in units of the cell vectors:
1 K 0.000 0.000 0.500
2 K 0.500 0.500 0.000
3 S 0.250 0.250 0.750
4 O 0.008 0.292 0.708
5 O 0.208 0.493 0.792
6 O 0.292 0.008 0.992
7 O 0.493 0.208 0.507

=====

Entry R
This record from the Alexandria database describes an optimized crystal structure of K2SO4. The functional is PBE.

As for the space group: I4/mmm, No. 139. For the size of the total moment, the calculation gives 0.0 Bohr magnetons per cell.

Cell lengths 6.875, 6.875, 6.875 Å; angles 147.30, 147.30, 46.92 degrees
Sites, in units of the cell vectors:
1 K 0.146 0.146 0.000
2 K 0.854 0.854 0.000
3 S 0.500 0.500 0.000
4 O 0.000 0.500 0.500
5 O 0.378 0.378 0.000
6 O 0.500 0.000 0.500
7 O 0.622 0.622 0.000

=====

Entry S
This record from the Alexandria database describes an optimized crystal structure of K2SO4. The functional is PBE.

As for the space group: C2, No. 5. For the size of the total moment, the calculation gives 0.0 Bohr magnetons per cell.

Cell lengths 6.694, 6.694, 7.352 Å; angles 92.59, 92.59, 53.91 degrees
Sites, in units of the cell vectors:
1 K 0.000 0.000 0.000
2 K 0.320 0.351 0.839
3 K 0.649 0.680 0.161
4 K 0.967 0.033 0.500
5 S 0.261 0.351 0.319
6 S 0.649 0.739 0.681
7 O 0.108 0.592 0.220
8 O 0.175 0.192 0.263
9 O 0.408 0.892 0.780
10 O 0.530 0.181 0.205
11 O 0.656 0.301 0.232
12 O 0.699 0.344 0.768
13 O 0.808 0.825 0.737
14 O 0.819 0.470 0.795

=====

Of them, entry Q has the highest stability.

=====

Entry P
This record from the Alexandria database describes an optimized crystal structure of K2SO4. The functional is PBE.

As for the space group: Pnma, No. 62. For the size of the total moment, the calculation gives 0.0 Bohr magnetons per cell.

Cell lengths 7.594, 5.877, 10.230 Å; angles 90.00, 90.00, 90.00 degrees
Sites, in units of the cell vectors:
1 K 0.003 0.250 0.203
2 K 0.174 0.750 0.416
3 K 0.326 0.250 0.916
4 K 0.497 0.750 0.703
5 K 0.503 0.250 0.297
6 K 0.674 0.750 0.084
7 K 0.826 0.250 0.584
8 K 0.997 0.750 0.797
9 S 0.230 0.750 0.082
10 S 0.270 0.250 0.582
11 S 0.730 0.750 0.418
12 S 0.770 0.250 0.918
13 O 0.035 0.750 0.076
14 O 0.193 0.250 0.446
15 O 0.207 0.042 0.653
16 O 0.207 0.458 0.653
17 O 0.293 0.542 0.153
18 O 0.293 0.958 0.153
19 O 0.307 0.750 0.946
20 O 0.465 0.250 0.576
21 O 0.535 0.750 0.424
22 O 0.693 0.250 0.054
23 O 0.707 0.042 0.847
24 O 0.707 0.458 0.847
25 O 0.793 0.542 0.347
26 O 0.793 0.958 0.347
27 O 0.807 0.750 0.554
28 O 0.965 0.250 0.924

=====

Entry Q
This record from the Alexandria database describes an optimized crystal structure of K2SO4. The functional is PBE.

As for the space group: Cmcm, No. 63. For the size of the total moment, the calculation gives 0.2 Bohr magnetons per cell.

Cell lengths 5.859, 5.859, 7.982 Å; angles 90.00, 90.00, 118.34 degrees
Sites, in units of the cell vectors:
1 K 0.000 0.000 0.000
2 K 0.000 0.000 0.500
3 K 0.312 0.688 0.750
4 K 0.688 0.312 0.250
5 S 0.347 0.653 0.250
6 S 0.653 0.347 0.750
7 O 0.231 0.362 0.250
8 O 0.262 0.738 0.098
9 O 0.262 0.738 0.402
10 O 0.362 0.231 0.750
11 O 0.638 0.769 0.250
12 O 0.738 0.262 0.598
13 O 0.738 0.262 0.902
14 O 0.769 0.638 0.750

=====

Of them, entry P has the highest stability.

=====

Entry P
This record from the Alexandria database describes an optimized crystal structure of KS2O6. The functional is PBE.

As for the space group: C2/c, No. 15. For the size of the total moment, the calculation gives 0.0 Bohr magnetons per cell.

Cell lengths 7.719, 7.719, 6.277 Å; angles 110.94, 110.94, 76.36 degrees
Sites, in units of the cell vectors:
1 K 0.167 0.833 0.750
2 K 0.833 0.167 0.250
3 S 0.209 0.360 0.845
4 S 0.360 0.209 0.345
5 S 0.640 0.791 0.655
6 S 0.791 0.640 0.155
7 O 0.083 0.216 0.710
8 O 0.123 0.554 0.893
9 O 0.216 0.083 0.210
10 O 0.314 0.369 0.543
11 O 0.369 0.314 0.043
12 O 0.446 0.877 0.607
13 O 0.554 0.123 0.393
14 O 0.631 0.686 0.957
15 O 0.686 0.631 0.457
16 O 0.784 0.917 0.790
17 O 0.877 0.446 0.107
18 O 0.917 0.784 0.290

=====

Entry Q
This record from the Alexandria database describes an optimized crystal structure of KS2O6. The functional is PBE.

As for the space group: R3m, No. 160. For the size of the total moment, the calculation gives 1.0 Bohr magnetons per cell.

Cell lengths 6.987, 6.987, 6.987 Å; angles 51.47, 51.47, 51.47 degrees
Sites, in units of the cell vectors:
1 K 0.000 0.000 0.000
2 S 0.243 0.243 0.243
3 S 0.381 0.381 0.381
4 O 0.093 0.093 0.503
5 O 0.093 0.503 0.093
6 O 0.119 0.530 0.530
7 O 0.503 0.093 0.093
8 O 0.530 0.119 0.530
9 O 0.530 0.530 0.119

=====

Of them, entry P has the highest stability.

=====

Entry P
This record from the Alexandria database describes an optimized crystal structure of K6S2O. The functional is PBE.

As for the space group: P2_1/c, No. 14. For the size of the total moment, the calculation gives 0.3 Bohr magnetons per cell.

Cell lengths 7.101, 8.338, 11.970 Å; angles 90.00, 123.30, 90.00 degrees
Sites, in units of the cell vectors:
1 K 0.122 0.045 0.239
2 K 0.122 0.455 0.739
3 K 0.198 0.714 0.060
4 K 0.198 0.786 0.560
5 K 0.358 0.143 0.057
6 K 0.358 0.357 0.557
7 K 0.642 0.643 0.443
8 K 0.642 0.857 0.943
9 K 0.802 0.214 0.440
10 K 0.802 0.286 0.940
11 K 0.878 0.545 0.261
12 K 0.878 0.955 0.761
13 S 0.275 0.101 0.742
14 S 0.275 0.399 0.242
15 S 0.725 0.601 0.758
16 S 0.725 0.899 0.258
17 O 0.000 0.000 0.000
18 O 0.000 0.500 0.500

=====

Entry Q
This record from the Alexandria database describes an optimized crystal structure of K6S2O. The functional is PBE.

As for the space group: P-62m, No. 189. For the size of the total moment, the calculation gives 0.1 Bohr magnetons per cell.

Cell lengths 8.038, 8.038, 4.408 Å; angles 90.00, 90.00, 120.00 degrees
Sites, in units of the cell vectors:
1 K 0.000 0.234 0.000
2 K 0.000 0.591 0.500
3 K 0.234 0.000 0.000
4 K 0.409 0.409 0.500
5 K 0.591 0.000 0.500
6 K 0.766 0.766 0.000
7 S 0.333 0.667 0.000
8 S 0.667 0.333 0.000
9 O 0.000 0.000 0.500

=====

Of them, entry P has the highest stability.

=====

Entry P
This record from the Alexandria database describes an optimized crystal structure of KScS2O8. The functional is PBE.

As for the space group: P-3, No. 147. For the size of the total moment, the calculation gives 0.0 Bohr magnetons per cell.

Cell lengths 5.126, 5.126, 8.094 Å; angles 90.00, 90.00, 120.00 degrees
Sites, in units of the cell vectors:
1 K 0.000 0.000 0.000
2 Sc 0.000 0.000 0.500
3 S 0.333 0.667 0.721
4 S 0.667 0.333 0.279
5 O 0.103 0.364 0.657
6 O 0.262 0.897 0.657
7 O 0.333 0.667 0.901
8 O 0.364 0.262 0.343
9 O 0.636 0.738 0.657
10 O 0.667 0.333 0.099
11 O 0.738 0.103 0.343
12 O 0.897 0.636 0.343

=====

Entry Q
This record from the Alexandria database describes an optimized crystal structure of KScS2O8. The functional is PBE.

As for the space group: C2/m, No. 12. For the size of the total moment, the calculation gives 0.0 Bohr magnetons per cell.

Cell lengths 5.091, 5.091, 8.094 Å; angles 92.46, 92.46, 63.05 degrees
Sites, in units of the cell vectors:
1 K 0.000 0.000 0.000
2 Sc 0.000 0.000 0.500
3 S 0.359 0.359 0.712
4 S 0.641 0.641 0.288
5 O 0.228 0.228 0.586
6 O 0.229 0.684 0.682
7 O 0.310 0.310 0.881
8 O 0.316 0.771 0.318
9 O 0.684 0.229 0.682
10 O 0.690 0.690 0.119
11 O 0.771 0.316 0.318
12 O 0.772 0.772 0.414

=====

Of them, entry Q has the highest stability.